Here is crystalline HfFe3Cl at its relaxed geometry from Alexandria. Energies are from PBE.

Lattice parameters (Å, degrees): 4.7474 4.7474 4.7474 90.00 90.00 90.00
With the nearest neighbours (Å) after each atom.
Space group Pm-3m (No. 221)
Symmetry-distinct sites (fractional):
1 Hf 0.0000 0.0000 0.0000 x1  6 Fe 2.37
2 Fe 0.0000 0.0000 0.5000 x3  2 Hf 2.37
3 Cl 0.5000 0.5000 0.5000 x1  12 Fe 3.36

Summary:
calculated density: 5.920 g/cm³
calculated total energy: -5.8615 eV per atom
D(E_F): 7.97 states/eV/f.u.
calculated volume: 21.40 A^3/atom
uncorrected formation energy: 1.576 eV per atom